# 1
The following is a DFT calculation (SCAN) of TcP at its PBEsol-relaxed geometry.

## Properties
As for the density of states at the Fermi level: 1.68 states/eV/cell. Its energy is -23.130 eV per atom. The formation energy comes out at -401 meV/atom.

Cell lengths 2.9325, 4.3022, 4.0978 Å; angles 90.00, 90.00, 90.00 degrees
Space group Pmmn (No. 59, origin choice 2)
Symmetry-distinct sites (fractional):
Tc 0.2500 0.2500 0.1294 (multiplicity 2)
P 0.2500 0.7500 0.3908 (multiplicity 2)

=====

# 2
The following is a DFT calculation (SCAN) of TcP at its PBEsol-relaxed geometry.

## Properties
Its energy is -23.335 eV per atom. The formation energy comes out at -605 meV/atom.

Cell lengths 4.7480, 4.7480, 4.7480 Å; angles 90.00, 90.00, 90.00 degrees
Space group P2_13 (No. 198)
Symmetry-distinct sites (fractional):
Tc 0.1399 0.1399 0.1399 (multiplicity 4)
P 0.0772 0.5772 0.9228 (multiplicity 4)

=====

# 3
The following is a DFT calculation (SCAN) of TcP2 at its PBEsol-relaxed geometry.

## Properties
As for the density of states at the Fermi level: 1.97 states/eV/cell. Its energy is -18.322 eV per atom. The formation energy comes out at 297 meV/atom.

Cell lengths 3.9414, 3.9414, 2.9377 Å; angles 90.00, 90.00, 90.00 degrees
Space group P4/mmm (No. 123)
Symmetry-distinct sites (fractional):
Tc 0.0000 0.0000 0.0000 (multiplicity 1)
P 0.0000 0.5000 0.5000 (multiplicity 2)